Density functional theory data (GGA+U) for crystalline Mn2PdF at its relaxed geometry.

The energy above the lowest structure with this stoichiometry is 0 meV per atom. For the spin magnetization, the calculation gives 39.33 Bohr magnetons per cell. The calculation puts the calculated volume at 267.1 Å³/cell. For the total energy, the calculation gives -6.182 eV/atom.

The space group is I-42d (No. 122) and the conventional cell measures 6.475, 6.475 and 6.371 Å, with angles of 90.00, 90.00 and 90.00 degrees. The asymmetric unit holds Mn at (0.195, 0.250, 0.125), Pd at (0.000, 0.000, 0.500) and F at (0.000, 0.000, 0.000).